Record 1
A plane-wave DFT calculation with PBE was carried out for BaNiS2 after structural relaxation.

abc: 7.430 7.430 7.430
angles: 39.36 39.36 39.36
Fractional positions:
Ni 0.000 0.000 0.000
S 0.101 0.101 0.101
Ba 0.500 0.500 0.500
S 0.899 0.899 0.899

## Properties
**Total moment**: 2.0 μB per cell
**Formation energy without anion corrections**: -18.627 kcal/mol of atoms
**V**: 37.116 Å³ per atom

Record 2
A plane-wave DFT calculation with PBE was carried out for Sm2DyHo2Sc after structural relaxation.

abc: 3.322 6.515 17.537
angles: 90.00 90.00 90.00
Fractional positions:
Dy 0.500 0.500 0.000
Ho 0.000 0.744 0.856
Dy 0.000 0.000 0.500
Sm 0.500 0.254 0.317
Sm 0.000 0.754 0.183
Sm 0.500 0.746 0.683
Sc 0.000 0.000 0.000
Ho 0.500 0.756 0.356
Sc 0.500 0.500 0.500
Sm 0.000 0.246 0.817
Ho 0.500 0.244 0.644
Ho 0.000 0.256 0.144

## Properties
**Total moment**: 0.0 μB per cell
**V**: 31.627 Å³ per atom
**Energy of formation**: 0.275 eV/atom

Record 3
A plane-wave DFT calculation with PBE was carried out for Sr2YCo after structural relaxation.

abc: 11.080 11.080 8.236
angles: 47.72 47.72 90.00
Fractional positions:
Y 0.750 0.250 0.500
Y 0.000 0.000 0.000
Co 0.250 0.750 0.500
Sr 0.477 0.125 0.250
Sr 0.375 0.523 0.750
Sr 0.875 0.727 0.750
Sr 0.273 0.625 0.250
Co 0.500 0.500 0.000

## Properties
**Total moment**: 0.0 μB per cell
**E above lowest polymorph**: 267.2 meV per atom
**V**: 38.937 Å³ per atom
**Energy of formation**: 0.393 eV/atom

Record 4
A plane-wave DFT calculation with PBE was carried out for MnZnMo2 after structural relaxation.

abc: 2.658 2.658 8.449
angles: 90.00 90.00 104.57
Fractional positions:
Mn 0.500 0.500 0.750
Mo 0.000 0.000 0.988
Mo 0.000 0.000 0.512
Zn 0.500 0.500 0.250

## Properties
**Total moment**: 1.5 μB per cell
**V**: 14.446 Å³ per atom
**Energy of formation**: 0.133 eV/atom